(1)
First-principles (PBEsol) data for a geometry-optimized BaPdF2 structure, as listed in Alexandria via LeMat-Bulk.

a = 8.2512 Å, b = 8.2512 Å, c = 8.2512 Å
α = 148.59°, β = 148.59°, γ = 45.02°
Positions (direct):
Ba1 0.0000 0.0000 0.0000
Ba2 0.7500 0.2500 0.5000
Pd1 0.2500 0.7500 0.5000
Pd2 0.5000 0.5000 0.0000
F1 0.1707 0.6250 0.0457
F2 0.3750 0.4207 0.5457
F3 0.5793 0.1250 0.9543
F4 0.8750 0.8293 0.4543

Properties
**Total magnetization**: 0.00 μB per atom
**Uncorrected energy**: -4.957 eV/atom
**Energy relative to the elements, uncorrected**: -1967 meV per atom


(2)
First-principles (PBEsol) data for a geometry-optimized ZnWO4 structure, as listed in Alexandria via LeMat-Bulk.

a = 4.6695 Å, b = 5.7161 Å, c = 4.9252 Å
α = 90.00°, β = 90.64°, γ = 90.00°
Positions (direct):
Zn1 0.0000 0.1760 0.2500
Zn2 0.0000 0.8240 0.7500
W1 0.5000 0.3201 0.7500
W2 0.5000 0.6799 0.2500
O1 0.2419 0.1236 0.5973
O2 0.2419 0.8764 0.0973
O3 0.2828 0.3942 0.0662
O4 0.2828 0.6058 0.5662
O5 0.7172 0.3942 0.4338
O6 0.7172 0.6058 0.9338
O7 0.7581 0.1236 0.9027
O8 0.7581 0.8764 0.4027

Properties
**Total magnetization**: 0.00 μB per atom
**Uncorrected energy**: -7.990 eV/atom
**Energy relative to the elements, uncorrected**: -1926 meV per atom
**Excess energy over the best structure of this formula in the dataset**: 0 meV per atom


(3)
First-principles (PBEsol) data for a geometry-optimized ScTl2 structure, as listed in Alexandria via LeMat-Bulk.

a = 9.4190 Å, b = 9.4190 Å, c = 9.4190 Å
α = 60.00°, β = 60.00°, γ = 60.00°
Positions (direct):
Sc1 0.1450 0.7850 0.7850
Sc2 0.2150 0.2150 0.2150
Sc3 0.2150 0.2150 0.8550
Sc4 0.2150 0.8550 0.2150
Sc5 0.7850 0.1450 0.7850
Sc6 0.7850 0.7850 0.1450
Sc7 0.7850 0.7850 0.7850
Sc8 0.8550 0.2150 0.2150
Tl1 0.0000 0.0000 0.0000
Tl2 0.0000 0.0000 0.5000
Tl3 0.0000 0.5000 0.0000
Tl4 0.1904 0.1904 0.5596
Tl5 0.1904 0.5596 0.1904
Tl6 0.1904 0.5596 0.5596
Tl7 0.4404 0.4404 0.8096
Tl8 0.4404 0.8096 0.4404
Tl9 0.4404 0.8096 0.8096
Tl10 0.5000 0.0000 0.0000
Tl11 0.5596 0.1904 0.1904
Tl12 0.5596 0.1904 0.5596
Tl13 0.5596 0.5596 0.1904
Tl14 0.8096 0.4404 0.4404
Tl15 0.8096 0.4404 0.8096
Tl16 0.8096 0.8096 0.4404

Properties
**Total magnetization**: 0.00 μB per atom
**Uncorrected energy**: -4.145 eV/atom
**E_form**: -0.190 eV per atom


(4)
First-principles (PBEsol) data for a geometry-optimized InHg2Pb2 structure, as listed in Alexandria via LeMat-Bulk.

a = 8.6231 Å, b = 8.6231 Å, c = 3.6886 Å
α = 90.00°, β = 90.00°, γ = 90.00°
Positions (direct):
In1 0.0000 0.0000 0.0000
In2 0.5000 0.5000 0.0000
Hg1 0.1599 0.3401 0.5000
Hg2 0.3401 0.8401 0.5000
Hg3 0.6599 0.1599 0.5000
Hg4 0.8401 0.6599 0.5000
Pb1 0.1406 0.6406 0.0000
Pb2 0.3594 0.1406 0.0000
Pb3 0.6406 0.8594 0.0000
Pb4 0.8594 0.3594 0.0000

Properties
**Total magnetization**: 0.00 μB per atom
**Uncorrected energy**: -2.342 eV/atom
**E_form**: 0.081 eV per atom
**Excess energy over the best structure of this formula in the dataset**: 6 meV per atom


(5)
First-principles (PBEsol) data for a geometry-optimized RbAg2PS structure, as listed in Alexandria via LeMat-Bulk.

a = 4.7029 Å, b = 4.7029 Å, c = 5.2277 Å
α = 90.00°, β = 90.00°, γ = 90.00°
Positions (direct):
Rb1 0.0000 0.0000 0.0000
Ag1 0.0000 0.5000 0.5000
Ag2 0.5000 0.0000 0.5000
P1 0.5000 0.5000 0.5000
S1 0.5000 0.5000 0.0000

Properties
**Total magnetization**: 0.00 μB per atom
**Uncorrected energy**: -3.628 eV/atom
**Energy relative to the elements, uncorrected**: -64 meV per atom


(6)
First-principles (PBEsol) data for a geometry-optimized Zn2Ni2Au structure, as listed in Alexandria via LeMat-Bulk.

a = 6.8591 Å, b = 6.8591 Å, c = 2.7271 Å
α = 90.00°, β = 90.00°, γ = 90.00°
Positions (direct):
Zn1 0.1334 0.3666 0.0000
Zn2 0.3666 0.8666 0.0000
Zn3 0.6334 0.1334 0.0000
Zn4 0.8666 0.6334 0.0000
Ni1 0.1622 0.6622 0.5000
Ni2 0.3378 0.1622 0.5000
Ni3 0.6622 0.8378 0.5000
Ni4 0.8378 0.3378 0.5000
Au1 0.0000 0.0000 0.0000
Au2 0.5000 0.5000 0.0000

Properties
**Total magnetization**: 0.00 μB per atom
**Uncorrected energy**: -3.999 eV/atom
**E_form**: -0.119 eV per atom
**Excess energy over the best structure of this formula in the dataset**: 0 meV per atom